A relaxed ZnOs3C crystal, computed with PBE-GGA.

Structure (CIF):
```
data_ZnOs3C
_symmetry_space_group_name_H-M 'P m -3 m'
_symmetry_Int_Tables_number 221
_symmetry_space_group_name_Hall '-P 4 2 3'
_cell_length_a 4.056
_cell_length_b 4.056
_cell_length_c 4.056
_cell_angle_alpha 90.00
_cell_angle_beta 90.00
_cell_angle_gamma 90.00
loop_
_atom_site_label
_atom_site_type_symbol
_atom_site_fract_x
_atom_site_fract_y
_atom_site_fract_z
_atom_site_occupancy
Zn1 Zn 0.000 0.000 0.000 1
Os1 Os 0.000 0.500 0.500 1
C1 C 0.500 0.500 0.500 1
```

Calculated values
For the energy above the lowest structure with this stoichiometry, the calculation gives 0.000 eV per atom. For the total energy, the calculation gives -41.42 eV for the cell shown. The value obtained for the spin magnetization is 0.0 μB/cell. The calculation puts the formation enthalpy at 0 K at 267 kJ/mol of formula units.